Computed, not measured: a crystal of Li4CuP relaxed with PBEsol at the SCAN level of DFT.

Formation enthalpy at 0 K, eV per atom: 0.091
Spin magnetization, μB/f.u.: 0.42

a b c (Å): 4.794 4.794 4.794
angles (deg): 60.00 60.00 60.00
Atoms (fractional coordinates):
Li 0.124 0.124 0.124
Li 0.124 0.124 0.627
Li 0.124 0.627 0.124
Li 0.627 0.124 0.124
Cu 0.500 0.500 0.500
P 0.750 0.750 0.750